Record 1
Density functional theory data (SCAN) for a PBEsol-optimized structure of TlIn2Pb.

a b c (Å): 4.6334 4.8335 4.8443
angles (deg): 90.00 90.00 90.00
Closest atoms and distances in Å follow each position.
Space group Pmmm (No. 47)
Symmetry-distinct sites (fractional):
Tl1 0.0000 0.0000 0.0000 (multiplicity 1)  8 In 3.35, 4 Pb 3.42
In1 0.5000 0.0000 0.5000 (multiplicity 1)  4 Pb 3.35, 4 Tl 3.35, 4 In 3.42
In2 0.5000 0.5000 0.0000 (multiplicity 1)  4 Tl 3.35, 4 Pb 3.35, 4 In 3.42
Pb1 0.0000 0.5000 0.5000 (multiplicity 1)  8 In 3.35, 4 Tl 3.42

Properties
DFT formation energy in eV/atom: 0.06

***

Record 2
Density functional theory data (SCAN) for a PBEsol-optimized structure of Tl2InPb.

a b c (Å): 3.6435 5.6029 10.9379
angles (deg): 90.00 90.00 90.00
Closest atoms and distances in Å follow each position.
Space group Imm2 (No. 44)
Symmetry-distinct sites (fractional):
Tl1 0.0000 0.0000 0.0000 (multiplicity 2)  2 In 3.23, 2 Tl 3.31, 4 Pb 3.34
Tl2 0.0000 0.5000 0.2470 (multiplicity 2)  4 Tl 3.31-3.64, 4 In 3.34, 2 Pb 3.36
In1 0.0000 0.5000 0.7435 (multiplicity 2)  6 Tl 3.23-3.34, 2 Pb 3.25
Pb1 0.0000 0.0000 0.4892 (multiplicity 2)  2 In 3.25, 6 Tl 3.34-3.36

Properties
DFT formation energy in eV/atom: 0.04

***

Record 3
Density functional theory data (SCAN) for a PBEsol-optimized structure of TlIn2Pb.

a b c (Å): 5.4445 5.4445 3.6897
angles (deg): 90.00 90.00 90.00
Closest atoms and distances in Å follow each position.
Space group P4/mmm (No. 123)
Symmetry-distinct sites (fractional):
Tl1 0.0000 0.0000 0.0000 (multiplicity 1)  8 In 3.29
In1 0.0000 0.5000 0.5000 (multiplicity 2)  4 Tl 3.29, 4 Pb 3.29
Pb1 0.5000 0.5000 0.0000 (multiplicity 1)  8 In 3.29

Properties
DFT formation energy in eV/atom: 0.07

***

Energy above the lowest structure with this stoichiometry for every record listed, in sequence, given in eV per atom: 0.017; 0.029; 0.024.
VASP energy for every record listed, in sequence, given in eV/atom: -53.67; -63.43; -53.66.